Record 1
! ZrTi2Sn GGA-PBE optimized geometry; values from VASP
! - Fermi-level density of states: 1.45 states/eV per atom
! - Calculated total energy: -29.479 eV for the cell shown
! - Formation enthalpy at 0 K: -1.14 eV per formula unit
! - Density: 6552 kg/m³
&SYSTEM
  ibrav = 0, nat = 4, ntyp = 3
/
ATOMIC_SPECIES
Zr 91.22 Zr.upf
Ti 47.87 Ti.upf
Sn 118.71 Sn.upf
CELL_PARAMETERS angstrom
-1.437 3.713 0.414
-2.669 -0.650 -3.436
-3.120 -1.510 2.709
ATOMIC_POSITIONS crystal
Zr 0.500 0.500 0.500
Ti 0.000 0.500 0.000
Ti 0.000 0.000 0.500
Sn 0.500 0.000 0.000



Record 2
! RbIn3C GGA-PBE optimized geometry; values from VASP
! - Fermi-level density of states: 1.52 states/eV per atom
! - Calculated total energy: -6.613 eV for the cell shown
! - Formation enthalpy at 0 K: 11.79 eV per formula unit
! - Energy relative to the lowest polymorph listed for this composition: 1.509 eV per atom
! - Density: 2869 kg/m³
&SYSTEM
  ibrav = 0, nat = 5, ntyp = 3
/
ATOMIC_SPECIES
C 12.01 C.upf
In 114.82 In.upf
Rb 85.47 Rb.upf
CELL_PARAMETERS angstrom
6.348 0.000 0.000
0.000 6.348 0.000
0.000 0.000 6.348
ATOMIC_POSITIONS crystal
C 0.500 0.500 0.500
In 0.500 0.000 0.000
In 0.000 0.500 0.000
In 0.000 0.000 0.500
Rb 0.000 0.000 0.000



Record 3
! SrRu2IO8 GGA-PBE optimized geometry; values from VASP
! - Formation energy (no corrections): -1031 kJ/mol of formula units
! - Fermi-level density of states: 0.51 states/eV per atom
! - Calculated total energy: -72.139 eV for the cell shown
! - Density: 5637 kg/m³
&SYSTEM
  ibrav = 0, nat = 12, ntyp = 4
/
ATOMIC_SPECIES
Sr 87.62 Sr.upf
O 16.00 O.upf
Ru 101.07 Ru.upf
I 126.90 I.upf
CELL_PARAMETERS angstrom
-3.855 -1.342 -2.823
2.771 -0.368 -4.022
1.186 -6.349 1.397
ATOMIC_POSITIONS crystal
Sr 0.000 0.000 0.500
O 0.645 0.674 0.500
O 0.355 0.326 0.500
O 0.196 0.771 0.222
O 0.804 0.229 0.222
O 0.804 0.229 0.778
O 0.665 0.695 0.000
O 0.196 0.771 0.778
O 0.335 0.305 0.000
Ru 0.500 0.500 0.752
Ru 0.500 0.500 0.248
I 0.000 0.000 0.000



Record 4
! LiZnRh GGA-PBE optimized geometry; values from VASP
! - Fermi-level density of states: 0.26 states/eV per atom
! - Calculated total energy: -11.416 eV for the cell shown
! - Formation enthalpy at 0 K: -0.88 eV per formula unit
! - Energy relative to the lowest polymorph listed for this composition: 0.029 eV per atom
! - Density: 7198 kg/m³
&SYSTEM
  ibrav = 0, nat = 3, ntyp = 3
/
ATOMIC_SPECIES
Zn 65.41 Zn.upf
Li 6.94 Li.upf
Rh 102.91 Rh.upf
CELL_PARAMETERS angstrom
-2.804 0.818 -1.228
-1.452 -1.063 2.608
2.460 3.771 0.983
ATOMIC_POSITIONS crystal
Zn 0.287 0.287 0.574
Li 0.614 0.614 0.229
Rh 0.948 0.948 0.897



Record 5
! LaHo2NpN4 GGA-PBE optimized geometry; values from VASP
! - Formation energy (no corrections): -933 kJ/mol of formula units
! - Fermi-level density of states: 1.06 states/eV per atom
! - Calculated total energy: -139.995 eV for the cell shown
! - Density: 10180 kg/m³
&SYSTEM
  ibrav = 0, nat = 16, ntyp = 4
/
ATOMIC_SPECIES
Ho 164.93 Ho.upf
N 14.01 N.upf
Np 237.00 Np.upf
La 138.91 La.upf
CELL_PARAMETERS angstrom
3.455 0.000 0.000
-1.727 6.576 0.000
0.000 0.000 10.940
ATOMIC_POSITIONS crystal
Ho 0.626 0.253 0.514
Ho 0.374 0.747 0.486
Ho 0.626 0.253 0.986
Ho 0.374 0.747 0.014
N 0.799 0.598 0.609
N 0.201 0.402 0.109
N 0.201 0.402 0.391
N 0.427 0.853 0.250
N 0.799 0.598 0.891
N 0.573 0.147 0.750
N 0.000 0.000 0.500
N 0.000 0.000 0.000
Np 0.036 0.072 0.250
Np 0.964 0.928 0.750
La 0.767 0.534 0.250
La 0.233 0.466 0.750



Record 6
! LiAuBr2 GGA-PBE optimized geometry; values from VASP
! - Formation energy (no corrections): -259 kJ/mol of formula units
! - Fermi-level density of states: 0.03 states/eV per atom
! - Calculated total energy: -11.218 eV for the cell shown
! - Energy relative to the lowest polymorph listed for this composition: 0.111 eV per atom
! - Density: 5200 kg/m³
&SYSTEM
  ibrav = 0, nat = 4, ntyp = 3
/
ATOMIC_SPECIES
Br 79.90 Br.upf
Au 196.97 Au.upf
Li 6.94 Li.upf
CELL_PARAMETERS angstrom
6.602 0.000 0.000
0.000 4.419 0.628
0.000 1.520 4.197
ATOMIC_POSITIONS crystal
Br 0.000 0.792 0.793
Br 0.500 0.452 0.451
Au 0.500 0.802 0.801
Li 0.000 0.454 0.455



Record 7
! Ba2Ag2Au GGA-PBE optimized geometry; values from VASP
! - Fermi-level density of states: 0.74 states/eV per atom
! - Calculated total energy: -28.793 eV for the cell shown
! - Formation enthalpy at 0 K: -1.57 eV per formula unit
! - Energy relative to the lowest polymorph listed for this composition: 0.115 eV per atom
! - Density: 7093 kg/m³
&SYSTEM
  ibrav = 0, nat = 10, ntyp = 3
/
ATOMIC_SPECIES
Au 196.97 Au.upf
Ag 107.87 Ag.upf
Ba 137.33 Ba.upf
CELL_PARAMETERS angstrom
8.409 0.000 0.000
0.000 8.409 0.000
0.000 0.000 4.551
ATOMIC_POSITIONS crystal
Au 0.000 0.000 0.000
Au 0.500 0.500 0.000
Ag 0.881 0.619 0.000
Ag 0.619 0.119 0.000
Ag 0.381 0.881 0.000
Ag 0.119 0.381 0.000
Ba 0.818 0.318 0.500
Ba 0.318 0.182 0.500
Ba 0.182 0.682 0.500
Ba 0.682 0.818 0.500



Record 8
! Na2Pu3Se6 GGA-PBE optimized geometry; values from VASP
! - Formation energy (no corrections): -1468 kJ/mol of formula units
! - Fermi-level density of states: 2.75 states/eV per atom
! - Calculated total energy: -81.752 eV for the cell shown
! - Density: 6580 kg/m³
&SYSTEM
  ibrav = 0, nat = 11, ntyp = 3
/
ATOMIC_SPECIES
Se 78.96 Se.upf
Na 22.99 Na.upf
Pu 244.00 Pu.upf
CELL_PARAMETERS angstrom
6.955 0.000 2.067
3.477 6.282 1.034
0.336 0.000 7.330
ATOMIC_POSITIONS crystal
Se 0.408 0.665 0.777
Se 0.072 0.335 0.777
Se 0.592 0.335 0.223
Se 0.257 0.000 0.224
Se 0.743 0.000 0.776
Se 0.928 0.665 0.223
Na 0.833 0.334 0.500
Na 0.167 0.666 0.500
Pu 0.666 0.668 0.000
Pu 0.334 0.332 0.000
Pu 0.000 0.000 0.000